one.
Density functional theory data (GGA-PBE) for a relaxed structure of FeHgCl4.

Cell and atoms, written as CIF:
```
data_FeHgCl4
_chemical_formula_sum 'Fe2 Hg2 Cl8'
_cell_length_a 5.990
_cell_length_b 5.990
_cell_length_c 10.980
_cell_angle_alpha 90.00
_cell_angle_beta 90.00
_cell_angle_gamma 90.00
_space_group_name_H-M_alt 'P 1'
_space_group_IT_number 1
loop_
_space_group_symop_operation_xyz
'x,y,z'
loop_
_atom_site_label
_atom_site_type_symbol
_atom_site_fract_x
_atom_site_fract_y
_atom_site_fract_z
_atom_site_occupancy
Fe1 Fe 0.000 0.500 0.250 1
Fe2 Fe 0.500 0.000 0.750 1
Hg1 Hg 0.000 0.000 0.000 1
Hg2 Hg 0.000 0.000 0.500 1
Cl1 Cl 0.223 0.282 0.368 1
Cl2 Cl 0.223 0.718 0.132 1
Cl3 Cl 0.282 0.223 0.868 1
Cl4 Cl 0.282 0.777 0.632 1
Cl5 Cl 0.718 0.223 0.632 1
Cl6 Cl 0.718 0.777 0.868 1
Cl7 Cl 0.777 0.282 0.132 1
Cl8 Cl 0.777 0.718 0.368 1
```

Output
* magnetic moment: 0.6665 μB/atom
* symmetry: P-42c, No. 112


two.
Density functional theory data (GGA-PBE) for a relaxed structure of FeHgCl4.

Cell and atoms, written as CIF:
```
data_FeHgCl4
_chemical_formula_sum 'Fe1 Hg1 Cl4'
_cell_length_a 5.935
_cell_length_b 5.935
_cell_length_c 5.935
_cell_angle_alpha 60.00
_cell_angle_beta 60.00
_cell_angle_gamma 60.00
_space_group_name_H-M_alt 'P 1'
_space_group_IT_number 1
loop_
_space_group_symop_operation_xyz
'x,y,z'
loop_
_atom_site_label
_atom_site_type_symbol
_atom_site_fract_x
_atom_site_fract_y
_atom_site_fract_z
_atom_site_occupancy
Fe1 Fe 0.000 0.000 0.000 1
Hg1 Hg 0.750 0.750 0.750 1
Cl1 Cl 0.374 0.374 0.374 1
Cl2 Cl 0.374 0.374 0.877 1
Cl3 Cl 0.374 0.877 0.374 1
Cl4 Cl 0.877 0.374 0.374 1
```

Output
* magnetic moment: 1.0145 μB/atom
* symmetry: F-43m, No. 216


Most stable pick: one. Distance to second place: 134.5 kJ/mol of atoms.